Compound: NpTlSi2O6
Source: Alexandria via LeMat-Bulk
Functional: PBE
Structure: optimized geometry

The structure in CIF format:
```
data_NpTlSi2O6
_cell_length_a 7.375
_cell_length_b 7.375
_cell_length_c 5.479
_cell_angle_alpha 97.72
_cell_angle_beta 97.72
_cell_angle_gamma 88.44
_symmetry_space_group_name_H-M 'P 1'
_symmetry_Int_Tables_number 1
loop_
_symmetry_equiv_pos_as_xyz
'x,y,z'
loop_
_atom_site_label
_atom_site_fract_x
_atom_site_fract_y
_atom_site_fract_z
_atom_site_occupancy
Np1 0.124 0.876 0.750 1
Np2 0.876 0.124 0.250 1
Tl1 0.319 0.681 0.250 1
Tl2 0.681 0.319 0.750 1
Si1 0.201 0.358 0.708 1
Si2 0.358 0.201 0.208 1
Si3 0.642 0.799 0.792 1
Si4 0.799 0.642 0.292 1
O1 0.056 0.188 0.646 1
O2 0.124 0.566 0.752 1
O3 0.188 0.056 0.146 1
O4 0.325 0.339 0.470 1
O5 0.339 0.325 0.970 1
O6 0.434 0.876 0.748 1
O7 0.566 0.124 0.252 1
O8 0.661 0.675 0.030 1
O9 0.675 0.661 0.530 1
O10 0.812 0.944 0.854 1
O11 0.876 0.434 0.248 1
O12 0.944 0.812 0.354 1
```

## Properties
* crystal system: monoclinic
* E: -8.015 eV per atom
* space group: C2/c (15)
* total magnetization: 4.0 μB per formula unit

---

Compound: MnNb2Tl2Te6
Source: Alexandria via LeMat-Bulk
Functional: PBE
Structure: optimized geometry

The structure in CIF format:
```
data_MnNb2Tl2Te6
_cell_length_a 6.887
_cell_length_b 6.887
_cell_length_c 8.553
_cell_angle_alpha 96.04
_cell_angle_beta 96.04
_cell_angle_gamma 119.60
_symmetry_space_group_name_H-M 'P 1'
_symmetry_Int_Tables_number 1
loop_
_symmetry_equiv_pos_as_xyz
'x,y,z'
loop_
_atom_site_label
_atom_site_fract_x
_atom_site_fract_y
_atom_site_fract_z
_atom_site_occupancy
Mn1 0.000 0.000 0.000 1
Nb1 0.372 0.628 0.000 1
Nb2 0.628 0.372 0.000 1
Tl1 0.195 0.805 0.500 1
Tl2 0.805 0.195 0.500 1
Te1 0.029 0.381 0.175 1
Te2 0.271 0.271 0.766 1
Te3 0.381 0.029 0.175 1
Te4 0.619 0.971 0.825 1
Te5 0.729 0.729 0.234 1
Te6 0.971 0.619 0.825 1
```

## Properties
* crystal system: monoclinic
* E: -5.084 eV per atom
* space group: C2/m (12)
* total magnetization: 4.2 μB per formula unit

---

Compound: KCd6Ga2
Source: Alexandria via LeMat-Bulk
Functional: PBE
Structure: optimized geometry

The structure in CIF format:
```
data_KCd6Ga2
_cell_length_a 4.544
_cell_length_b 4.544
_cell_length_c 10.425
_cell_angle_alpha 90.00
_cell_angle_beta 90.00
_cell_angle_gamma 90.00
_symmetry_space_group_name_H-M 'P 1'
_symmetry_Int_Tables_number 1
loop_
_symmetry_equiv_pos_as_xyz
'x,y,z'
loop_
_atom_site_label
_atom_site_fract_x
_atom_site_fract_y
_atom_site_fract_z
_atom_site_occupancy
K1 0.000 0.000 0.000 1
Cd1 0.000 0.000 0.500 1
Cd2 0.000 0.500 0.287 1
Cd3 0.000 0.500 0.713 1
Cd4 0.500 0.000 0.287 1
Cd5 0.500 0.000 0.713 1
Cd6 0.500 0.500 0.500 1
Ga1 0.500 0.500 0.127 1
Ga2 0.500 0.500 0.873 1
```

## Properties
* E_form: -0.0548 eV per atom
* crystal system: tetragonal
* E: -1.459 eV per atom
* space group: P4/mmm (123)
* total magnetization: 0.0 μB per formula unit

---

> Which of these has the lowest E?

NpTlSi2O6

---

> What is the E in the third record?

-1.459 eV per atom